# 1
Crystalline K2SrRu at its relaxed geometry. Source: Alexandria via LeMat-Bulk, functional PBE.

## Properties
The energy above the most stable polymorph in this dataset comes out at 16.6 meV per atom.

Lattice parameters (Å, degrees): 3.7913 3.7974 11.4902 90.00 90.00 90.00
Closest atoms and distances in Å follow each position.
Fractional positions:
K1 0.0000 0.0000 0.9787  4 K 3.79-3.80
K2 0.5000 0.5000 0.3360  4 Ru 3.47, 1 Sr 3.70, 4 K 3.79-3.80
Ru1 0.0000 0.0000 0.5277  4 Sr 3.07
Sr1 0.5000 0.5000 0.6577  4 Ru 3.07

=====

# 2
Crystalline LaTbCd4 at its relaxed geometry. Source: Alexandria via LeMat-Bulk, functional PBE.

## Properties
The energy above the most stable polymorph in this dataset comes out at 45.0 meV per atom.

Lattice parameters (Å, degrees): 5.9986 5.9986 5.9986 60.00 60.00 60.00
Closest atoms and distances in Å follow each position.
Fractional positions:
Cd1 0.6252 0.6252 0.1243  6 Cd 2.99-3.01
Cd2 0.6252 0.1243 0.6252  6 Cd 2.99-3.01
Cd3 0.6252 0.6252 0.6252  6 Cd 2.99-3.01
Cd4 0.1243 0.6252 0.6252  6 Cd 2.99-3.01
Tb1 0.0000 0.0000 0.0000  12 Cd 3.52, 4 La 3.67
La1 0.2500 0.2500 0.2500  12 Cd 3.52, 4 Tb 3.67

=====

# 3
Crystalline LaBRh3 at its relaxed geometry. Source: Alexandria via LeMat-Bulk, functional PBE.

## Properties
The energy above the most stable polymorph in this dataset comes out at 0.0 meV per atom.

Lattice parameters (Å, degrees): 4.2851 4.2851 4.2851 90.00 90.00 90.00
Closest atoms and distances in Å follow each position.
Fractional positions:
B1 0.0000 0.0000 0.0000  6 Rh 2.14
Rh1 0.0000 0.5000 0.0000  2 B 2.14
Rh2 0.0000 0.0000 0.5000  2 B 2.14
Rh3 0.5000 0.0000 0.0000  2 B 2.14
La1 0.5000 0.5000 0.5000  12 Rh 3.03

=====

In the order shown, the computed calculated volume values come out to 41.4; 25.4; 15.7 Å³ per atom.
In the order shown, the computed DFT formation energy values come out to 0.6568; -0.2982; -0.7039 eV/atom.